Entry 1:
Entry from Alexandria via LeMat-Bulk: crystalline AcEr2PtO8 at its relaxed geometry (GGA-PBE).

Unit cell a=5.021 b=7.105 c=5.027 alpha=90.00 beta=90.18 gamma=90.00
Atoms (fractional coordinates):
Ac (0.000, 0.000, 0.000)
Er (0.500, 0.263, 0.500)
Er (0.500, 0.737, 0.500)
Pt (0.000, 0.500, 0.000)
O (0.190, 0.298, 0.811)
O (0.190, 0.702, 0.811)
O (0.280, 0.500, 0.281)
O (0.328, 0.000, 0.330)
O (0.672, 0.000, 0.670)
O (0.720, 0.500, 0.719)
O (0.810, 0.298, 0.189)
O (0.810, 0.702, 0.189)

Values from the calculation:
Energy relative to the elements, uncorrected, meV per atom: -2180

=====

Entry 2:
Entry from Alexandria via LeMat-Bulk: crystalline DyYHg2 at its relaxed geometry (GGA-PBE).

Unit cell a=5.247 b=5.247 c=3.756 alpha=90.00 beta=90.00 gamma=90.00
Atoms (fractional coordinates):
Dy (0.000, 0.000, 0.000)
Y (0.500, 0.500, 0.000)
Hg (0.000, 0.500, 0.500)
Hg (0.500, 0.000, 0.500)

Values from the calculation:
Energy above the most stable polymorph in this dataset, meV/atom: 0

=====

Entry 3:
Entry from Alexandria via LeMat-Bulk: crystalline LaHfTe2Au at its relaxed geometry (GGA-PBE).

Unit cell a=5.589 b=5.589 c=5.084 alpha=90.00 beta=90.00 gamma=90.00
Atoms (fractional coordinates):
La (0.000, 0.000, 0.000)
Hf (0.500, 0.500, 0.000)
Te (0.000, 0.500, 0.500)
Te (0.500, 0.000, 0.500)
Au (0.500, 0.500, 0.500)

Values from the calculation:
Energy relative to the elements, uncorrected, meV per atom: 47

=====

E_tot
In order: -0.52125, -0.25091, -0.35586
Unit: Ry per atom
DOS at the Fermi energy
In order: 0.709, 0.999, 0.745
Unit: states/eV per atom